Compound: MgNiTe2O8
Source: the Alexandria database
Functional: PBE+U
Structure: optimized geometry

abc: 5.8941 5.8941 5.8941
angles: 108.95 108.95 110.52
Last column: nearest neighbours and their distance in Å.
Sites, in units of the cell vectors:
1 O 0.9290 0.2260 0.2970  1 Te 1.84
2 O 0.8849 0.6833 0.2016  1 Te 1.85
3 O 0.3681 0.0710 0.2970  1 Te 1.84
4 O 0.7740 0.0710 0.7030  1 Te 1.84
5 O 0.9290 0.6319 0.7030  1 Te 1.84
6 O 0.3167 0.5182 0.2016  1 Te 1.85
7 O 0.3167 0.1151 0.7984  1 Te 1.85
8 O 0.4818 0.6833 0.7984  1 Te 1.85
9 Ni 0.2500 0.7500 0.5000  4 O 2.09
10 Te 0.5000 0.5000 0.0000  4 O 1.85
11 Te 0.7500 0.2500 0.5000  4 O 1.84
12 Mg 0.0000 0.0000 0.0000  4 O 2.09

As for the raw total energy: -5.065 eV/atom. The space group is I-4m2 (119).